The following is a DFT calculation (PBE-GGA) of an optimized crystal structure of Si2POs.

Cell: 4.7345 4.7345 4.7345 Å, 141.79 117.96 75.25°
Positions (direct):
Os  0.4924  0.4924  0.0000
P  0.2382  0.7382  0.5000
Si  0.7617  0.2617  0.5000
Si  0.0077  0.0077  0.0000

Values from the calculation:
mass density: 8.1 Mg/m³
magnetization: 0.0 μB/f.u.
energy relative to the elements, uncorrected: 0.40 eV per atom



The following is a DFT calculation (PBE-GGA) of an optimized crystal structure of SiP2Os.

Cell: 4.4330 4.4330 4.4330 Å, 126.56 126.56 78.97°
Positions (direct):
Os  0.7500  0.2500  0.5000
Si  0.5000  0.5000  0.0000
P  0.2500  0.7500  0.5000
P  0.0000  0.0000  0.0000

Values from the calculation:
mass density: 8.6 Mg/m³
magnetization: 0.0 μB/f.u.
energy relative to the elements, uncorrected: 0.46 eV per atom



The following is a DFT calculation (PBE-GGA) of an optimized crystal structure of SiP2Os.

Cell: 4.3252 4.3252 3.0104 Å, 90.00 90.00 105.22°
Positions (direct):
Si  0.5000  0.0000  0.5000
P  0.0000  0.0000  0.0000
P  0.5000  0.5000  0.0000
Os  0.0000  0.5000  0.5000

Values from the calculation:
mass density: 8.6 Mg/m³
magnetization: 0.0 μB/f.u.
energy relative to the elements, uncorrected: 0.46 eV per atom